Below is TaAgBr after structural relaxation, with properties calculated at the GGA-PBE level.

Cell and atoms, written as extended XYZ:
```
3
Lattice="4.461 0.000 0.000 2.230 3.863 0.000 2.230 1.288 3.642" Properties=species:S:1:pos:R:3 pbc="T T T"
Br 6.691 3.863 2.732
Ag 4.461 2.575 1.821
Ta 0.000 0.000 0.000
```

**Density of states at the Fermi level**: 3.0 states/eV/f.u.
**Electronic total energy**: -4.185 eV per atom
**Symmetry**: F-43m, No. 216
**Mass density**: 9.8 g cm⁻³
**Energy relative to the elements, uncorrected**: 3.82 eV per formula unit
**Energy relative to the lowest polymorph listed for this composition**: 3.402 eV per formula unit